No. 1
Entry from the Alexandria database: a relaxed RbBAs crystal (PBE-GGA).

Calculated formation energy in meV/atom: 48
E above lowest polymorph in meV/atom: 0
Magnetic moment in μB per formula unit: 0.00

Lattice parameters (Å, degrees): 15.0184 3.1736 6.5486 90.00 97.27 90.00
Space group C2/m (No. 12)
Unique sites:
Rb  0.1013  0.0000  0.2907
B  0.2289  0.5000  0.9673
As  0.1144  0.5000  0.7859



No. 2
Entry from the Alexandria database: a relaxed RbB2As2 crystal (PBE-GGA).

Calculated formation energy in meV/atom: 755
E above lowest polymorph in meV/atom: 52
Magnetic moment in μB per formula unit: 0.00

Lattice parameters (Å, degrees): 8.0222 8.0222 3.1564 90.00 90.00 90.00
Space group P4/mbm (No. 127)
Unique sites:
Rb  0.0000  0.0000  0.0000
B  0.0755  0.4245  0.0000
As  0.1237  0.6237  0.5000



No. 3
Entry from the Alexandria database: a relaxed Rb2BAs crystal (PBE-GGA).

Calculated formation energy in meV/atom: 1256
E above lowest polymorph in meV/atom: 237
Magnetic moment in μB per formula unit: 0.13

Lattice parameters (Å, degrees): 4.9461 4.9461 22.0956 90.00 90.00 90.00
Space group I-42d (No. 122)
Unique sites:
Rb  0.2303  0.2500  0.1250
B  0.0000  0.0000  0.0000
As  0.0000  0.0000  0.5000